# LaHo2UO8 | Alexandria | PBE | optimized geometry
# VASP energy: -8.698 eV/atom
# formation energy without anion corrections: -39.344 eV per formula unit
data_LaHo2UO8
_space_group_name_H-M_alt 'P m m m'
_space_group_IT_number 47
_space_group_name_Hall '-P 2 2'
_cell_length_a 3.910
_cell_length_b 5.333
_cell_length_c 7.705
_cell_angle_alpha 90.00
_cell_angle_beta 90.00
_cell_angle_gamma 90.00
loop_
_atom_site_label
_atom_site_type_symbol
_atom_site_fract_x
_atom_site_fract_y
_atom_site_fract_z
_atom_site_occupancy
La1 La 0.000 0.000 0.000 1
Ho1 Ho 0.500 0.500 0.264 1
U1 U 0.000 0.000 0.500 1
O1 O 0.000 0.245 0.279 1
O2 O 0.500 0.233 0.500 1
O3 O 0.500 0.278 0.000 1


# LaAs2IrBr | Alexandria | PBE | optimized geometry
# VASP energy: -5.247 eV/atom
# formation energy without anion corrections: -1.477 eV per formula unit
# energy relative to the lowest polymorph listed for this composition: 0 meV/atom
data_LaAs2IrBr
_space_group_name_H-M_alt 'P 4/m m m'
_space_group_IT_number 123
_space_group_name_Hall '-P 4 2'
_cell_length_a 4.839
_cell_length_b 4.839
_cell_length_c 5.262
_cell_angle_alpha 90.00
_cell_angle_beta 90.00
_cell_angle_gamma 90.00
loop_
_atom_site_label
_atom_site_type_symbol
_atom_site_fract_x
_atom_site_fract_y
_atom_site_fract_z
_atom_site_occupancy
La1 La 0.000 0.000 0.000 1
As1 As 0.000 0.500 0.500 1
Ir1 Ir 0.500 0.500 0.500 1
Br1 Br 0.500 0.500 0.000 1


# LiV3Ge | Alexandria | PBE | optimized geometry
# VASP energy: -5.875 eV/atom
# energy relative to the lowest polymorph listed for this composition: 0 meV/atom
data_LiV3Ge
_space_group_name_H-M_alt 'P m -3 m'
_space_group_IT_number 221
_space_group_name_Hall '-P 4 2 3'
_cell_length_a 4.098
_cell_length_b 4.098
_cell_length_c 4.098
_cell_angle_alpha 90.00
_cell_angle_beta 90.00
_cell_angle_gamma 90.00
loop_
_atom_site_label
_atom_site_type_symbol
_atom_site_fract_x
_atom_site_fract_y
_atom_site_fract_z
_atom_site_occupancy
Li1 Li 0.000 0.000 0.000 1
V1 V 0.000 0.000 0.500 1
Ge1 Ge 0.500 0.500 0.500 1


# LaPr2HoSc | Alexandria | PBE | optimized geometry
# VASP energy: -4.823 eV/atom
data_LaPr2HoSc
_space_group_name_H-M_alt 'P 1 2/c 1'
_space_group_IT_number 13
_space_group_name_Hall '-P 2yc'
_cell_length_a 9.103
_cell_length_b 6.334
_cell_length_c 6.305
_cell_angle_alpha 90.00
_cell_angle_beta 110.00
_cell_angle_gamma 90.00
loop_
_atom_site_label
_atom_site_type_symbol
_atom_site_fract_x
_atom_site_fract_y
_atom_site_fract_z
_atom_site_occupancy
La1 La 0.000 0.000 0.000 1
Pr1 Pr 0.313 0.317 0.157 1
Ho1 Ho 0.500 0.162 0.750 1
Sc1 Sc 0.000 0.499 0.750 1


# Mn4GeAsN | Alexandria | PBE | optimized geometry
# VASP energy: -7.863 eV/atom
# formation energy without anion corrections: -0.768 eV per formula unit
data_Mn4GeAsN
_space_group_name_H-M_alt 'C m c m'
_space_group_IT_number 63
_space_group_name_Hall '-C 2c 2'
_cell_length_a 5.359
_cell_length_b 12.710
_cell_length_c 5.345
_cell_angle_alpha 90.00
_cell_angle_beta 90.00
_cell_angle_gamma 90.00
loop_
_atom_site_label
_atom_site_type_symbol
_atom_site_fract_x
_atom_site_fract_y
_atom_site_fract_z
_atom_site_occupancy
Mn1 Mn 0.000 0.088 0.250 1
Mn2 Mn 0.000 0.412 0.250 1
Mn3 Mn 0.250 0.250 0.000 1
Ge1 Ge 0.000 0.106 0.750 1
As1 As 0.000 0.393 0.750 1
N1 N 0.000 0.250 0.250 1


# SmTm3Tl | Alexandria | PBE | optimized geometry
# VASP energy: -4.207 eV/atom
# energy relative to the lowest polymorph listed for this composition: 0 meV/atom
data_SmTm3Tl
_space_group_name_H-M_alt 'C m c m'
_space_group_IT_number 63
_space_group_name_Hall '-C 2c 2'
_cell_length_a 4.808
_cell_length_b 25.264
_cell_length_c 4.778
_cell_angle_alpha 90.00
_cell_angle_beta 90.00
_cell_angle_gamma 90.00
loop_
_atom_site_label
_atom_site_type_symbol
_atom_site_fract_x
_atom_site_fract_y
_atom_site_fract_z
_atom_site_occupancy
Sm1 Sm 0.000 0.148 0.250 1
Tm1 Tm 0.000 0.046 0.750 1
Tm2 Tm 0.000 0.250 0.750 1
Tm3 Tm 0.000 0.449 0.750 1
Tl1 Tl 0.000 0.347 0.250 1


# NbSiS2Cl | Alexandria | PBE | optimized geometry
# VASP energy: -4.794 eV/atom
# formation energy without anion corrections: 1.622 eV per formula unit
# energy relative to the lowest polymorph listed for this composition: 287 meV/atom
data_NbSiS2Cl
_space_group_name_H-M_alt 'P 4/m m m'
_space_group_IT_number 123
_space_group_name_Hall '-P 4 2'
_cell_length_a 4.607
_cell_length_b 4.607
_cell_length_c 4.487
_cell_angle_alpha 90.00
_cell_angle_beta 90.00
_cell_angle_gamma 90.00
loop_
_atom_site_label
_atom_site_type_symbol
_atom_site_fract_x
_atom_site_fract_y
_atom_site_fract_z
_atom_site_occupancy
Nb1 Nb 0.000 0.000 0.000 1
Si1 Si 0.500 0.500 0.500 1
S1 S 0.000 0.500 0.500 1
Cl1 Cl 0.500 0.500 0.000 1


# Sc6AlIn | Alexandria | PBE | optimized geometry
# VASP energy: -5.826 eV/atom
data_Sc6AlIn
_space_group_name_H-M_alt 'P 4/m m m'
_space_group_IT_number 123
_space_group_name_Hall '-P 4 2'
_cell_length_a 4.475
_cell_length_b 4.475
_cell_length_c 8.933
_cell_angle_alpha 90.00
_cell_angle_beta 90.00
_cell_angle_gamma 90.00
loop_
_atom_site_label
_atom_site_type_symbol
_atom_site_fract_x
_atom_site_fract_y
_atom_site_fract_z
_atom_site_occupancy
Sc1 Sc 0.000 0.000 0.000 1
Sc2 Sc 0.000 0.000 0.500 1
Sc3 Sc 0.000 0.500 0.243 1
Al1 Al 0.500 0.500 0.000 1
In1 In 0.500 0.500 0.500 1


# Nd3HfGe6 | Alexandria | PBE | optimized geometry
# VASP energy: -5.836 eV/atom
data_Nd3HfGe6
_space_group_name_H-M_alt 'R -3 c'
_space_group_IT_number 167
_space_group_name_Hall '-R 3 2"c'
_cell_length_a 11.6076
_cell_length_b 11.6076
_cell_length_c 11.5537
_cell_angle_alpha 90.00
_cell_angle_beta 90.00
_cell_angle_gamma 120.00
loop_
_atom_site_label
_atom_site_type_symbol
_atom_site_fract_x
_atom_site_fract_y
_atom_site_fract_z
_atom_site_occupancy
Nd1 Nd 0.0000 0.4308 0.2500 1
Hf1 Hf 0.0000 0.0000 0.0000 1
Ge1 Ge 0.0664 0.2094 0.3434 1


# NbIr6W | Alexandria | PBE | optimized geometry
# VASP energy: -9.970 eV/atom
data_NbIr6W
_space_group_name_H-M_alt 'P 4/m m m'
_space_group_IT_number 123
_space_group_name_Hall '-P 4 2'
_cell_length_a 5.537
_cell_length_b 5.537
_cell_length_c 3.907
_cell_angle_alpha 90.00
_cell_angle_beta 90.00
_cell_angle_gamma 90.00
loop_
_atom_site_label
_atom_site_type_symbol
_atom_site_fract_x
_atom_site_fract_y
_atom_site_fract_z
_atom_site_occupancy
Nb1 Nb 0.000 0.000 0.000 1
Ir1 Ir 0.000 0.500 0.000 1
Ir2 Ir 0.253 0.253 0.500 1
W1 W 0.500 0.500 0.000 1


# Li2CuBi | Alexandria | PBE | optimized geometry
# VASP energy: -3.151 eV/atom
data_Li2CuBi
_space_group_name_H-M_alt 'P 4/m m m'
_space_group_IT_number 123
_space_group_name_Hall '-P 4 2'
_cell_length_a 4.079
_cell_length_b 4.079
_cell_length_c 4.296
_cell_angle_alpha 90.00
_cell_angle_beta 90.00
_cell_angle_gamma 90.00
loop_
_atom_site_label
_atom_site_type_symbol
_atom_site_fract_x
_atom_site_fract_y
_atom_site_fract_z
_atom_site_occupancy
Li1 Li 0.000 0.500 0.000 1
Cu1 Cu 0.000 0.000 0.500 1
Bi1 Bi 0.500 0.500 0.500 1


# Hg2PbBr | Alexandria | PBE | optimized geometry
# VASP energy: -1.576 eV/atom
# formation energy without anion corrections: -0.318 eV per formula unit
# energy relative to the lowest polymorph listed for this composition: 131 meV/atom
data_Hg2PbBr
_space_group_name_H-M_alt 'F -4 3 m'
_space_group_IT_number 216
_space_group_name_Hall 'F -4 2 3'
_cell_length_a 7.754
_cell_length_b 7.754
_cell_length_c 7.754
_cell_angle_alpha 90.00
_cell_angle_beta 90.00
_cell_angle_gamma 90.00
loop_
_atom_site_label
_atom_site_type_symbol
_atom_site_fract_x
_atom_site_fract_y
_atom_site_fract_z
_atom_site_occupancy
Hg1 Hg 0.000 0.000 0.000 1
Hg2 Hg 0.250 0.250 0.250 1
Pb1 Pb 0.000 0.000 0.500 1
Br1 Br 0.250 0.250 0.750 1


# LiBC | Alexandria | PBE | optimized geometry
# VASP energy: -5.933 eV/atom
data_LiBC
_space_group_name_H-M_alt 'C 1 m 1'
_space_group_IT_number 8
_space_group_name_Hall 'C -2y'
_cell_length_a 6.877
_cell_length_b 4.442
_cell_length_c 4.284
_cell_angle_alpha 90.00
_cell_angle_beta 124.36
_cell_angle_gamma 90.00
loop_
_atom_site_label
_atom_site_type_symbol
_atom_site_fract_x
_atom_site_fract_y
_atom_site_fract_z
_atom_site_occupancy
Li1 Li 0.000 0.000 0.000 1
Li2 Li 0.247 0.000 0.688 1
B1 B 0.411 0.185 0.349 1
C1 C 0.096 0.500 0.345 1
C2 C 0.320 0.500 0.369 1


# LiCuCl2 | Alexandria | PBE | optimized geometry
# VASP energy: -3.149 eV/atom
# formation energy without anion corrections: -2.891 eV per formula unit
data_LiCuCl2
_space_group_name_H-M_alt 'F m -3 m'
_space_group_IT_number 225
_space_group_name_Hall '-F 4 2 3'
_cell_length_a 6.450
_cell_length_b 6.450
_cell_length_c 6.450
_cell_angle_alpha 90.00
_cell_angle_beta 90.00
_cell_angle_gamma 90.00
loop_
_atom_site_label
_atom_site_type_symbol
_atom_site_fract_x
_atom_site_fract_y
_atom_site_fract_z
_atom_site_occupancy
Li1 Li 0.000 0.000 0.000 1
Cu1 Cu 0.000 0.000 0.500 1
Cl1 Cl 0.250 0.250 0.250 1


# Er2ScAlC | Alexandria | PBE | optimized geometry
# VASP energy: -6.164 eV/atom
data_Er2ScAlC
_space_group_name_H-M_alt 'P 4/m m m'
_space_group_IT_number 123
_space_group_name_Hall '-P 4 2'
_cell_length_a 4.830
_cell_length_b 4.830
_cell_length_c 4.527
_cell_angle_alpha 90.00
_cell_angle_beta 90.00
_cell_angle_gamma 90.00
loop_
_atom_site_label
_atom_site_type_symbol
_atom_site_fract_x
_atom_site_fract_y
_atom_site_fract_z
_atom_site_occupancy
Er1 Er 0.000 0.500 0.000 1
Sc1 Sc 0.000 0.000 0.500 1
Al1 Al 0.500 0.500 0.500 1
C1 C 0.000 0.000 0.000 1


# Nd6SiIr2Br3 | Alexandria | PBE | optimized geometry
# VASP energy: -5.775 eV/atom
# formation energy without anion corrections: -12.526 eV per formula unit
data_Nd6SiIr2Br3
_space_group_name_H-M_alt 'C 1 2/m 1'
_space_group_IT_number 12
_space_group_name_Hall '-C 2y'
_cell_length_a 7.310
_cell_length_b 12.661
_cell_length_c 8.045
_cell_angle_alpha 90.00
_cell_angle_beta 107.63
_cell_angle_gamma 90.00
loop_
_atom_site_label
_atom_site_type_symbol
_atom_site_fract_x
_atom_site_fract_y
_atom_site_fract_z
_atom_site_occupancy
Nd1 Nd 0.221 0.000 0.200 1
Nd2 Nd 0.239 0.327 0.200 1
Si1 Si 0.000 0.500 0.000 1
Ir1 Ir 0.000 0.167 0.000 1
Br1 Br 0.000 0.000 0.500 1
Br2 Br 0.000 0.338 0.500 1


# KSr2Mo | Alexandria | PBE | optimized geometry
# VASP energy: -2.888 eV/atom
# energy relative to the lowest polymorph listed for this composition: 179 meV/atom
data_KSr2Mo
_space_group_name_H-M_alt 'F m -3 m'
_space_group_IT_number 225
_space_group_name_Hall '-F 4 2 3'
_cell_length_a 8.542
_cell_length_b 8.542
_cell_length_c 8.542
_cell_angle_alpha 90.00
_cell_angle_beta 90.00
_cell_angle_gamma 90.00
loop_
_atom_site_label
_atom_site_type_symbol
_atom_site_fract_x
_atom_site_fract_y
_atom_site_fract_z
_atom_site_occupancy
K1 K 0.000 0.000 0.000 1
Sr1 Sr 0.250 0.250 0.250 1
Mo1 Mo 0.000 0.000 0.500 1


# Zn2CuTc | Alexandria | PBE | optimized geometry
# VASP energy: -4.213 eV/atom
# energy relative to the lowest polymorph listed for this composition: 34 meV/atom
data_Zn2CuTc
_space_group_name_H-M_alt 'P 4/m m m'
_space_group_IT_number 123
_space_group_name_Hall '-P 4 2'
_cell_length_a 2.626
_cell_length_b 2.626
_cell_length_c 7.930
_cell_angle_alpha 90.00
_cell_angle_beta 90.00
_cell_angle_gamma 90.00
loop_
_atom_site_label
_atom_site_type_symbol
_atom_site_fract_x
_atom_site_fract_y
_atom_site_fract_z
_atom_site_occupancy
Zn1 Zn 0.000 0.000 0.238 1
Cu1 Cu 0.500 0.500 0.000 1
Tc1 Tc 0.500 0.500 0.500 1


# NdSm2ErSe5 | Alexandria | PBE | optimized geometry
# VASP energy: -5.276 eV/atom
# formation energy without anion corrections: -11.294 eV per formula unit
data_NdSm2ErSe5
_space_group_name_H-M_alt 'P 4/m m m'
_space_group_IT_number 123
_space_group_name_Hall '-P 4 2'
_cell_length_a 5.104
_cell_length_b 5.104
_cell_length_c 10.973
_cell_angle_alpha 90.00
_cell_angle_beta 90.00
_cell_angle_gamma 90.00
loop_
_atom_site_label
_atom_site_type_symbol
_atom_site_fract_x
_atom_site_fract_y
_atom_site_fract_z
_atom_site_occupancy
Nd1 Nd 0.000 0.000 0.000 1
Sm1 Sm 0.500 0.500 0.336 1
Er1 Er 0.000 0.000 0.500 1
Se1 Se 0.000 0.000 0.252 1
Se2 Se 0.000 0.500 0.500 1
Se3 Se 0.500 0.500 0.000 1


# MgSe2I | Alexandria | PBE | optimized geometry
# VASP energy: -2.170 eV/atom
# formation energy without anion corrections: 1.436 eV per formula unit
# energy relative to the lowest polymorph listed for this composition: 781 meV/atom
data_MgSe2I
_space_group_name_H-M_alt 'R -3 m'
_space_group_IT_number 166
_space_group_name_Hall '-R 3 2"'
_cell_length_a 3.9148
_cell_length_b 3.9148
_cell_length_c 28.0636
_cell_angle_alpha 90.00
_cell_angle_beta 90.00
_cell_angle_gamma 120.00
loop_
_atom_site_label
_atom_site_type_symbol
_atom_site_fract_x
_atom_site_fract_y
_atom_site_fract_z
_atom_site_occupancy
Mg1 Mg 0.0000 0.0000 0.0000 1
Se1 Se 0.0000 0.0000 0.0880 1
I1 I 0.0000 0.0000 0.5000 1